(1)
# meta-GGA SCAN KAsN3, single point on PBEsol structure
# E_form (uncorrected), eV/atom: 1.185
data_KAsN3
_chemical_formula_sum 'K1 As1 N3'
_symmetry_space_group_name_H-M 'P m -3 m'
_symmetry_Int_Tables_number 221
_symmetry_space_group_name_Hall '-P 4 2 3'
_cell_length_a 3.917
_cell_length_b 3.917
_cell_length_c 3.917
_cell_angle_alpha 90.00
_cell_angle_beta 90.00
_cell_angle_gamma 90.00
loop_
_atom_site_label
_atom_site_fract_x
_atom_site_fract_y
_atom_site_fract_z
_atom_site_occupancy
K1 0.000 0.000 0.000 1
As1 0.500 0.500 0.500 1
N1 0.000 0.500 0.500 1



(2)
# meta-GGA SCAN KAs3N, single point on PBEsol structure
# E_form (uncorrected), eV/atom: 2.549
data_KAs3N
_chemical_formula_sum 'K1 As3 N1'
_symmetry_space_group_name_H-M 'P m -3 m'
_symmetry_Int_Tables_number 221
_symmetry_space_group_name_Hall '-P 4 2 3'
_cell_length_a 5.475
_cell_length_b 5.475
_cell_length_c 5.475
_cell_angle_alpha 90.00
_cell_angle_beta 90.00
_cell_angle_gamma 90.00
loop_
_atom_site_label
_atom_site_fract_x
_atom_site_fract_y
_atom_site_fract_z
_atom_site_occupancy
K1 0.000 0.000 0.000 1
As1 0.000 0.000 0.500 1
N1 0.500 0.500 0.500 1